Record 1
# Si2W | Alexandria via LeMat-Bulk | SCAN | PBEsol geometry
# ΔE_f (raw), eV/atom: 0.62
# Crystal system: cubic
# ΔE to the lowest computed polymorph, eV/atom: 0.901
data_Si2W
_symmetry_space_group_name_H-M 'F m -3 m'
_symmetry_Int_Tables_number 225
_symmetry_space_group_name_Hall '-F 4 2 3'
_cell_length_a 5.837
_cell_length_b 5.837
_cell_length_c 5.837
_cell_angle_alpha 90.00
_cell_angle_beta 90.00
_cell_angle_gamma 90.00
loop_
_atom_site_label
_atom_site_type_symbol
_atom_site_fract_x
_atom_site_fract_y
_atom_site_fract_z
Si1 Si 0.250 0.250 0.250
W1 W 0.000 0.000 0.000

Record 2
# SiW | Alexandria via LeMat-Bulk | SCAN | PBEsol geometry
# ΔE_f (raw), eV/atom: -0.21
# Crystal system: tetragonal
data_SiW
_symmetry_space_group_name_H-M 'P 4/n m m'
_symmetry_Int_Tables_number 129
_cell_length_a 3.157
_cell_length_b 3.157
_cell_length_c 5.586
_cell_angle_alpha 90.00
_cell_angle_beta 90.00
_cell_angle_gamma 90.00
loop_
_symmetry_equiv_pos_as_xyz
'x,y,z'
'-x,-y,-z'
'-y+1/2,x,z'
'y+1/2,-x,-z'
'-x+1/2,-y+1/2,z'
'x+1/2,y+1/2,-z'
'y,-x+1/2,z'
'-y,x+1/2,-z'
'x+1/2,-y,-z'
'-x+1/2,y,z'
'-y,-x,-z'
'y,x,z'
'-x,y+1/2,-z'
'x,-y+1/2,z'
'y+1/2,x+1/2,-z'
'-y+1/2,-x+1/2,z'
loop_
_atom_site_label
_atom_site_type_symbol
_atom_site_fract_x
_atom_site_fract_y
_atom_site_fract_z
Si1 Si 0.250 0.250 0.125
W1 W 0.250 0.250 0.650

Record 3
# Si2W | Alexandria via LeMat-Bulk | SCAN | PBEsol geometry
# ΔE_f (raw), eV/atom: -0.28
# Crystal system: tetragonal
# ΔE to the lowest computed polymorph, eV/atom: 0.000
data_Si2W
_symmetry_space_group_name_H-M 'I 4/m m m'
_symmetry_Int_Tables_number 139
_symmetry_space_group_name_Hall '-I 4 2'
_cell_length_a 3.202
_cell_length_b 3.202
_cell_length_c 7.814
_cell_angle_alpha 90.00
_cell_angle_beta 90.00
_cell_angle_gamma 90.00
loop_
_atom_site_label
_atom_site_type_symbol
_atom_site_fract_x
_atom_site_fract_y
_atom_site_fract_z
Si1 Si 0.000 0.000 0.165
W1 W 0.000 0.000 0.500

Record 4
# SiW | Alexandria via LeMat-Bulk | SCAN | PBEsol geometry
# ΔE_f (raw), eV/atom: 0.57
# Crystal system: hexagonal
data_SiW
_symmetry_space_group_name_H-M 'P 63/m m c'
_symmetry_Int_Tables_number 194
_symmetry_space_group_name_Hall '-P 6c 2c'
_cell_length_a 3.8786
_cell_length_b 3.8786
_cell_length_c 4.7041
_cell_angle_alpha 90.00
_cell_angle_beta 90.00
_cell_angle_gamma 120.00
loop_
_atom_site_label
_atom_site_type_symbol
_atom_site_fract_x
_atom_site_fract_y
_atom_site_fract_z
Si1 Si 0.0000 0.0000 0.0000
W1 W 0.3333 0.6667 0.2500

Record 5
# SiW | Alexandria via LeMat-Bulk | SCAN | PBEsol geometry
# ΔE_f (raw), eV/atom: 0.19
# Crystal system: tetragonal
data_SiW
_symmetry_space_group_name_H-M 'P 4/n m m'
_symmetry_Int_Tables_number 129
_cell_length_a 3.386
_cell_length_b 3.386
_cell_length_c 5.214
_cell_angle_alpha 90.00
_cell_angle_beta 90.00
_cell_angle_gamma 90.00
loop_
_symmetry_equiv_pos_as_xyz
'x,y,z'
'-x,-y,-z'
'-y+1/2,x,z'
'y+1/2,-x,-z'
'-x+1/2,-y+1/2,z'
'x+1/2,y+1/2,-z'
'y,-x+1/2,z'
'-y,x+1/2,-z'
'x+1/2,-y,-z'
'-x+1/2,y,z'
'-y,-x,-z'
'y,x,z'
'-x,y+1/2,-z'
'x,-y+1/2,z'
'y+1/2,x+1/2,-z'
'-y+1/2,-x+1/2,z'
loop_
_atom_site_label
_atom_site_type_symbol
_atom_site_fract_x
_atom_site_fract_y
_atom_site_fract_z
Si1 Si 0.250 0.750 0.000
W1 W 0.250 0.250 0.368

Record 6
# SiW | Alexandria via LeMat-Bulk | SCAN | PBEsol geometry
# ΔE_f (raw), eV/atom: -0.09
# Crystal system: monoclinic
data_SiW
_symmetry_space_group_name_H-M 'C 1 m 1'
_symmetry_Int_Tables_number 8
_cell_length_a 8.872
_cell_length_b 3.241
_cell_length_c 6.106
_cell_angle_alpha 90.00
_cell_angle_beta 102.88
_cell_angle_gamma 90.00
loop_
_symmetry_equiv_pos_as_xyz
'x,y,z'
'x,-y,z'
'x+1/2,y+1/2,z'
'x+1/2,-y+1/2,z'
loop_
_atom_site_label
_atom_site_type_symbol
_atom_site_fract_x
_atom_site_fract_y
_atom_site_fract_z
Si1 Si 0.000 0.000 0.000
Si2 Si 0.058 0.000 0.594
Si3 Si 0.329 0.000 0.190
W1 W 0.131 0.500 0.335
W2 W 0.203 0.500 0.880
W3 W 0.355 0.000 0.610